1.
LiTePdAu (PBE, optimized geometry); E_tot = -14.894 eV per cell; total magnetization = 0.0 μB/f.u.
1.0
0.000 3.319 3.319
3.319 0.000 3.319
3.319 3.319 0.000
Li Te Pd Au
1 1 1 1
Direct
0.000 0.000 0.000 Li
0.250 0.250 0.250 Te
0.500 0.500 0.500 Pd
0.750 0.750 0.750 Au



2.
LiThPdAu (PBE, optimized geometry); E_tot = -20.118 eV per cell; ΔH_f (0 K) = -579 meV per atom; total magnetization = 0.0 μB/f.u.
1.0
0.000 3.491 3.491
3.491 0.000 3.491
3.491 3.491 0.000
Li Th Pd Au
1 1 1 1
Direct
0.000 0.000 0.000 Li
0.500 0.500 0.500 Th
0.250 0.250 0.250 Pd
0.750 0.750 0.750 Au



3.
LiTiPdAu (PBE, optimized geometry); E_tot = -20.207 eV per cell; ΔH_f (0 K) = -482 meV per atom; energy above the lowest structure with this stoichiometry = 0.0 meV per atom; total magnetization = 0.8 μB/f.u.
1.0
3.020 0.000 0.000
0.000 3.020 0.000
0.000 0.000 6.772
Li Ti Pd Au
1 1 1 1
Direct
0.000 0.000 0.000 Li
0.000 0.000 0.482 Ti
0.500 0.500 0.236 Pd
0.500 0.500 0.761 Au



4.
LiTiPdAu (PBE, optimized geometry); E_tot = -20.167 eV per cell; ΔH_f (0 K) = -472 meV per atom; energy above the lowest structure with this stoichiometry = 9.9 meV per atom; total magnetization = 0.0 μB/f.u.
1.0
0.000 3.144 3.144
3.144 0.000 3.144
3.144 3.144 0.000
Li Ti Pd Au
1 1 1 1
Direct
0.000 0.000 0.000 Li
0.500 0.500 0.500 Ti
0.750 0.750 0.750 Pd
0.250 0.250 0.250 Au



5.
LiTlPdAu (PBE, optimized geometry); E_tot = -14.043 eV per cell; ΔH_f (0 K) = -323 meV per atom; energy above the lowest structure with this stoichiometry = 0.0 meV per atom; total magnetization = 0.0 μB/f.u.
1.0
0.000 3.283 3.283
3.283 0.000 3.283
3.283 3.283 0.000
Li Tl Pd Au
1 1 1 1
Direct
0.000 0.000 0.000 Li
0.250 0.250 0.250 Tl
0.500 0.500 0.500 Pd
0.750 0.750 0.750 Au



6.
LiTlPdAu (PBE, optimized geometry); E_tot = -13.963 eV per cell; ΔH_f (0 K) = -303 meV per atom; energy above the lowest structure with this stoichiometry = 20.1 meV per atom; total magnetization = 0.0 μB/f.u.
1.0
4.639 -2.054 0.000
4.639 2.054 0.000
-1.807 0.000 3.689
Li Tl Pd Au
1 1 1 1
Direct
0.000 0.000 0.000 Li
0.500 0.500 0.500 Tl
0.250 0.250 0.750 Pd
0.750 0.750 0.250 Au



Quick rundown of DOS(E_F), same order as above: 2.58; 3.27; 3.45; 3.50; 1.41; 1.49 states/eV/f.u.